{
  "formula": "Na2Ca2H",
  "functional": "PBEsol",
  "state": "relaxed",
  "lattice_angstrom": [[6.7899, 0.0000, 0.0000], [0.0000, 6.7899, 0.0000], [0.0000, 0.0000, 6.6763]],
  "species": ["Na", "Na", "Na", "Na", "Ca", "Ca", "Ca", "Ca", "H", "H"],
  "frac_coords": [[0.1665, 0.3335, 0.0000], [0.3335, 0.8335, 0.0000], [0.6665, 0.1665, 0.0000], [0.8335, 0.6665, 0.0000], [0.1923, 0.6923, 0.5000], [0.3077, 0.1923, 0.5000], [0.6923, 0.8077, 0.5000], [0.8077, 0.3077, 0.5000], [0.0000, 0.0000, 0.5000], [0.5000, 0.5000, 0.5000]],
  "energy_ev_per_atom": -2.042
}